VASP calculation (meta-GGA SCAN) on a crystal of ReIr2W relaxed with PBEsol.

The calculation puts the excess energy over the best structure of this formula in the dataset at 0.081 eV/atom. The value obtained for the energy of formation from the pure elements is -314 meV per atom.

The space group is I4/mmm (No. 139) and the conventional cell measures 3.850, 3.850 and 7.804 Å, with angles of 90.00, 90.00 and 90.00 degrees. The asymmetric unit holds Re at (0.000, 0.000, 0.000), Ir at (0.000, 0.500, 0.250) and W at (0.000, 0.000, 0.500).